Entry 1:
PBE BaTl2AgIr, relaxed; DOS(E_F) = 2.0 states/eV/cell; E = -3.7110 eV per atom
1.0
-2.715 2.126 3.947
3.583 -1.744 3.404
2.800 4.636 -0.572
Tl Ir Ba Ag
2 1 1 1
Cartesian
1.791 -0.872 1.702 Tl
-1.357 1.063 1.973 Tl
0.000 0.000 0.000 Ir
1.834 2.509 3.389 Ba
1.400 2.318 -0.286 Ag

***

Entry 2:
PBE Ba2TlAgIr, relaxed; DOS(E_F) = 3.2 states/eV/cell; E = -3.6817 eV per atom
1.0
6.057 0.000 0.000
0.000 6.057 0.000
0.000 0.000 5.257
Tl Ir Ba Ag
1 1 2 1
Cartesian
0.000 0.000 2.628 Tl
0.000 0.000 0.000 Ir
0.000 3.028 0.000 Ba
3.028 0.000 0.000 Ba
3.028 3.028 2.628 Ag

***

Entry 3:
PBE Ba8TlAg2Ir, relaxed; DOS(E_F) = 10.2 states/eV/cell; E = -2.8597 eV per atom
1.0
-5.104 5.256 3.073
1.705 -2.379 7.175
7.345 6.831 0.518
Ba Tl Ag Ir
8 1 2 1
Cartesian
2.108 0.516 6.213 Ba
-2.244 1.843 7.509 Ba
-2.269 5.372 4.262 Ba
1.839 9.192 4.552 Ba
6.190 7.865 3.256 Ba
6.215 4.336 6.503 Ba
1.544 5.154 7.512 Ba
2.402 4.554 3.253 Ba
3.673 3.415 0.259 Tl
3.868 6.616 5.516 Ag
0.079 3.092 5.249 Ag
0.000 0.000 0.000 Ir

***

Entry 4:
PBE Ba2ZnAgIr, relaxed; DOS(E_F) = 2.0 states/eV/cell; E = -3.4757 eV per atom
1.0
6.028 0.000 0.000
0.000 6.028 0.000
0.000 0.000 4.857
Zn Ir Ba Ag
1 1 2 1
Cartesian
0.000 0.000 2.428 Zn
0.000 0.000 0.000 Ir
0.000 3.014 0.000 Ba
3.014 0.000 0.000 Ba
3.014 3.014 2.428 Ag

***

Entry 5:
PBE Ba2Zn6AgIr, relaxed; DOS(E_F) = 4.2 states/eV/cell; E = -2.5112 eV per atom
1.0
-5.235 4.626 0.922
-3.661 -3.120 -5.150
-6.554 -2.283 1.212
Ba Zn Ag Ir
2 6 1 1
Cartesian
-8.118 1.548 0.009 Ba
-7.332 -2.325 -3.025 Ba
-5.481 -0.740 -0.477 Zn
-13.186 -1.159 -1.942 Zn
-4.062 -1.149 -3.605 Zn
-11.387 0.371 0.590 Zn
-2.264 0.382 -1.073 Zn
-9.968 -0.037 -2.538 Zn
0.000 0.000 0.000 Ag
-4.448 0.753 -2.114 Ir

***

Entry 6:
PBE KBa12Ag5, relaxed; DOS(E_F) = 19.4 states/eV/cell; E = -2.2603 eV per atom
1.0
9.681 -0.102 -3.885
-5.018 8.680 -2.881
-0.185 0.102 10.430
K Ba Ag
1 12 5
Cartesian
-2.601 4.391 3.774 K
0.933 7.160 2.989 Ba
3.546 1.520 0.675 Ba
7.604 1.520 3.472 Ba
-3.125 7.160 0.192 Ba
3.176 5.867 -0.801 Ba
1.302 2.814 4.465 Ba
-0.567 5.969 7.177 Ba
5.045 2.712 -3.513 Ba
4.692 5.192 3.354 Ba
-0.213 3.489 0.310 Ba
-3.216 8.557 4.666 Ba
7.694 0.124 -1.002 Ba
2.935 5.399 -4.259 Ag
1.728 3.179 -2.507 Ag
4.153 1.005 4.136 Ag
0.326 7.676 -0.473 Ag
0.000 0.000 0.000 Ag

***

Entry 7:
PBE K2BaAg, relaxed; DOS(E_F) = 4.6 states/eV/cell; ΔE to the lowest computed polymorph = 0.0000 eV per atom; E = -1.7661 eV per atom
1.0
4.272 0.000 0.000
0.000 4.266 -0.001
0.000 4.237 11.288
Ag Ba K
1 1 2
Cartesian
0.000 4.248 5.834 Ag
2.136 6.381 7.585 Ba
0.000 4.239 11.202 K
2.136 2.125 3.595 K

***

Entry 8:
PBE KBaAg2, relaxed; DOS(E_F) = 5.4 states/eV/cell; ΔE to the lowest computed polymorph = 0.2362 eV per atom; E = -2.0659 eV per atom
1.0
-5.607 -5.620 -4.179
4.025 -6.967 3.968
-3.249 -6.034 2.844
K Ba Ag
2 2 4
Cartesian
-0.791 -6.294 -0.106 K
-0.008 -9.647 3.353 K
0.000 0.000 0.000 Ba
-4.824 -8.974 -0.721 Ba
-3.788 -5.865 -1.386 Ag
0.976 -6.592 2.649 Ag
-3.012 -9.278 2.072 Ag
-3.841 -15.507 1.929 Ag

***

Entry 9:
PBE KBa12Ag6, relaxed; DOS(E_F) = 19.5 states/eV/cell; E = -2.3210 eV per atom
1.0
2.556 -7.713 -6.788
7.506 0.798 7.425
-9.273 -2.262 4.584
K Ba Ag
1 12 6
Cartesian
0.000 0.000 0.000 K
-5.812 -4.144 2.558 Ba
2.806 -2.425 2.422 Ba
-2.017 -6.753 2.799 Ba
6.602 -5.033 2.662 Ba
3.551 -1.028 6.621 Ba
-0.228 -4.387 -0.569 Ba
1.018 -4.791 5.789 Ba
-2.762 -8.149 -1.400 Ba
3.250 -6.322 -2.640 Ba
-1.794 -2.303 3.331 Ba
2.583 -6.875 1.889 Ba
-2.460 -2.855 7.861 Ba
-3.458 -4.557 5.159 Ag
4.248 -4.621 0.061 Ag
4.354 -4.019 4.923 Ag
-3.564 -5.158 0.298 Ag
0.500 -7.639 -0.858 Ag
0.290 -1.539 6.079 Ag

***

Entry 10:
PBE KBa2Ag6, relaxed; DOS(E_F) = 3.7 states/eV/cell; E = -2.6109 eV per atom
1.0
-3.215 1.952 2.214
0.099 -6.302 5.700
4.927 6.830 1.132
K Ba Ag
1 2 6
Cartesian
4.927 6.830 1.132 K
3.318 2.453 2.654 Ba
-1.507 0.028 6.391 Ba
0.069 1.152 3.386 Ag
1.742 1.328 5.660 Ag
1.676 5.528 1.862 Ag
3.386 3.607 6.037 Ag
-1.574 -1.126 3.009 Ag
0.135 -3.047 7.184 Ag

***

Entry 11:
PBE KBa2Ag2, relaxed; DOS(E_F) = 8.6 states/eV/cell; ΔE to the lowest computed polymorph = 0.0000 eV per atom; E = -2.2927 eV per atom
1.0
9.231 0.000 0.000
0.000 9.231 0.000
0.000 0.000 4.706
K Ba Ag
2 4 4
Cartesian
0.000 0.000 0.000 K
4.616 4.616 0.000 K
1.522 6.138 2.353 Ba
6.138 7.709 2.353 Ba
7.709 3.094 2.353 Ba
3.094 1.522 2.353 Ba
3.534 8.149 0.000 Ag
8.149 5.698 0.000 Ag
5.698 1.082 0.000 Ag
1.082 3.534 0.000 Ag

***

Entry 12:
PBE K2BaAg, relaxed; DOS(E_F) = 3.8 states/eV/cell; ΔE to the lowest computed polymorph = 0.2843 eV per atom; E = -1.4817 eV per atom
1.0
0.000 4.507 4.507
4.507 0.000 4.507
4.507 4.507 0.000
K Ba Ag
2 1 1
Cartesian
2.253 2.253 2.253 K
6.760 6.760 6.760 K
4.507 4.507 4.507 Ba
0.000 0.000 0.000 Ag

***

Entry 13:
PBE K3BaAg, relaxed; DOS(E_F) = 6.0 states/eV/cell; ΔE to the lowest computed polymorph = 0.0000 eV per atom; E = -1.4423 eV per atom
1.0
-0.105 -5.230 4.168
-1.425 -4.055 -5.124
6.534 -0.969 -1.051
K Ba Ag
3 1 1
Cartesian
-0.713 -2.028 -2.562 K
3.267 -0.484 -0.525 K
-0.052 -2.615 2.084 K
2.502 -5.127 -1.003 Ba
0.000 0.000 0.000 Ag

***

Entry 14:
PBE KBa2Ag, relaxed; DOS(E_F) = 3.8 states/eV/cell; ΔE to the lowest computed polymorph = 0.0157 eV per atom; E = -2.0307 eV per atom
1.0
-0.310 3.018 3.792
-4.363 1.326 1.669
-1.601 -7.418 8.968
K Ba Ag
1 2 1
Cartesian
-4.705 -2.305 10.822 K
-4.682 3.557 6.106 Ba
-3.127 -0.751 6.569 Ba
-1.568 -0.768 3.607 Ag

***

Entry 15:
PBE K2BaAg, relaxed; DOS(E_F) = 2.7 states/eV/cell; ΔE to the lowest computed polymorph = 0.0917 eV per atom; E = -1.6744 eV per atom
1.0
8.126 0.030 -0.003
4.081 7.027 0.003
-5.298 -4.923 3.707
Ag Ba K
1 1 2
Cartesian
6.031 3.487 0.000 Ag
3.282 3.302 1.855 Ba
0.069 0.040 0.000 K
3.631 -1.165 1.852 K

***

Entry 16:
PBE KBaAg2, relaxed; DOS(E_F) = 2.0 states/eV/cell; ΔE to the lowest computed polymorph = 0.0000 eV per atom; E = -2.3022 eV per atom
1.0
4.944 0.000 0.000
0.000 4.721 0.007
0.000 2.353 6.248
K Ba Ag
1 1 2
Cartesian
2.472 5.598 5.253 K
0.000 3.244 2.531 Ba
0.000 0.882 0.017 Ag
2.472 0.887 1.581 Ag

***

Entry 17:
PBE KBaAg10, relaxed; DOS(E_F) = 4.8 states/eV/cell; E = -2.7040 eV per atom
1.0
4.634 0.000 0.000
0.000 5.834 0.000
0.000 0.000 10.237
K Ba Ag
1 1 10
Cartesian
0.000 0.000 0.000 K
0.000 2.917 5.118 Ba
0.000 0.000 3.360 Ag
0.000 2.917 8.570 Ag
0.000 2.917 1.666 Ag
0.000 0.000 6.877 Ag
2.317 0.000 5.118 Ag
2.317 2.917 0.000 Ag
2.317 1.474 2.571 Ag
2.317 4.360 7.666 Ag
2.317 4.360 2.571 Ag
2.317 1.474 7.666 Ag

***

Entry 18:
PBE K2BaAg, relaxed; DOS(E_F) = 3.1 states/eV/cell; ΔE to the lowest computed polymorph = 0.0384 eV per atom; E = -1.7277 eV per atom
1.0
-3.046 3.738 -8.961
-2.248 -0.356 -9.918
-5.167 -0.963 -0.190
Ag Ba K
1 1 2
Cartesian
-7.845 1.814 -14.302 Ag
-2.615 0.605 -4.767 Ba
-5.176 -0.608 -1.718 K
-5.221 0.854 -8.007 K

***

Entry 19:
PBE KBaAg2, relaxed; DOS(E_F) = 2.3 states/eV/cell; ΔE to the lowest computed polymorph = 0.0846 eV per atom; E = -2.2175 eV per atom
1.0
7.021 -0.037 -0.024
3.765 5.926 0.024
-5.143 -3.402 3.357
Ag Ba K
2 1 1
Cartesian
10.241 5.592 0.000 Ag
4.175 0.047 1.666 Ag
5.545 3.028 0.000 Ba
1.860 2.654 1.691 K

***

Entry 20:
PBE K2BaAg, relaxed; DOS(E_F) = 3.4 states/eV/cell; ΔE to the lowest computed polymorph = 0.1590 eV per atom; E = -1.6071 eV per atom
1.0
12.517 -0.050 -0.030
11.689 4.477 -0.030
11.689 2.138 3.934
Ag Ba K
1 1 2
Cartesian
8.974 1.641 0.969 Ag
26.921 4.924 2.906 Ba
35.010 6.403 3.779 K
18.832 3.444 2.033 K

***

Entry 21:
PBE KBa3Ag, relaxed; DOS(E_F) = 10.8 states/eV/cell; ΔE to the lowest computed polymorph = 0.0045 eV per atom; E = -1.9940 eV per atom
1.0
-6.719 -0.459 -2.876
-3.262 -6.550 0.039
-3.083 3.614 11.182
K Ba Ag
2 6 2
Cartesian
-7.919 0.206 9.445 K
-8.764 -5.534 -1.538 K
-3.048 -0.415 2.390 Ba
-3.654 2.094 8.355 Ba
-6.163 -0.615 5.662 Ba
-6.784 -2.681 2.073 Ba
-10.520 -4.714 2.246 Ba
-9.899 -2.649 5.835 Ba
-9.407 -0.791 3.057 Ag
-7.276 -4.540 4.853 Ag

***

Entry 22:
PBE KBaAg2, relaxed; DOS(E_F) = 2.2 states/eV/cell; ΔE to the lowest computed polymorph = 0.1945 eV per atom; E = -2.1077 eV per atom
1.0
5.595 0.000 0.000
2.798 4.845 0.000
2.798 1.615 4.568
Ag Ba K
2 1 1
Cartesian
0.000 0.000 0.000 Ag
2.798 1.615 1.142 Ag
5.595 3.230 2.284 Ba
8.393 4.845 3.426 K

***

Entry 23:
PBE K2BaAg2, relaxed; DOS(E_F) = 3.7 states/eV/cell; ΔE to the lowest computed polymorph = 0.0000 eV per atom; E = -1.9725 eV per atom
1.0
5.001 0.000 0.000
0.000 5.001 0.000
2.501 2.501 7.822
K Ba Ag
2 1 2
Cartesian
5.001 2.501 3.911 K
2.501 5.001 3.911 K
0.000 0.000 0.000 Ba
2.501 2.501 1.382 Ag
5.001 5.001 6.439 Ag

***

Entry 24:
PBE KBa2Ag, relaxed; DOS(E_F) = 3.6 states/eV/cell; ΔE to the lowest computed polymorph = 0.0141 eV per atom; E = -2.0323 eV per atom
1.0
-4.317 -0.704 -2.137
-0.286 -0.369 -4.846
-0.090 -11.548 -1.561
K Ba Ag
1 2 1
Cartesian
-2.349 -6.293 -4.273 K
-0.323 -9.743 -1.684 Ba
-1.301 -2.170 -2.203 Ba
-3.068 -0.725 -4.654 Ag

***

Entry 25:
PBE KBa2Ag, relaxed; DOS(E_F) = 8.7 states/eV/cell; ΔE to the lowest computed polymorph = 0.1721 eV per atom; E = -1.8743 eV per atom
1.0
10.488 0.000 0.000
0.000 10.488 0.000
5.244 5.244 3.994
K Ba Ag
2 4 2
Cartesian
5.244 5.244 0.000 K
5.244 10.488 1.997 K
8.781 2.622 0.999 Ba
1.707 7.866 0.999 Ba
7.866 6.951 2.996 Ba
13.110 14.024 2.996 Ba
0.000 0.000 0.000 Ag
10.488 5.244 1.997 Ag

***

Entry 26:
PBE KBa3Ag, relaxed; DOS(E_F) = 7.1 states/eV/cell; ΔE to the lowest computed polymorph = 0.8182 eV per atom; E = -1.1802 eV per atom
1.0
-1.326 -2.141 6.409
6.526 -2.100 0.649
1.753 6.199 2.433
K Ba Ag
1 3 1
Cartesian
0.000 0.000 0.000 K
3.263 -1.050 0.325 Ba
0.876 3.100 1.216 Ba
-0.663 -1.070 3.205 Ba
3.476 0.979 4.746 Ag

***

| no. | V (Å³/atom) | energy of formation from the pure elements (eV per formula unit) | magnetic moment (μB/cell) |
| --- | --- | --- | --- |
| 1 | 29.913 | -0.187 | 0.00 |
| 2 | 38.569 | -0.484 | 0.00 |
| 3 | 51.524 | -2.005 | 0.00 |
| 4 | 35.289 | -0.547 | 0.00 |
| 5 | 24.687 | -1.910 | 0.00 |
| 6 | 48.319 | -2.258 | 0.00 |
| 7 | 51.426 | -0.095 | 0.01 |
| 8 | 38.718 | 0.459 | 0.00 |
| 9 | 48.092 | -2.821 | 0.00 |
| 10 | 30.328 | -1.448 | 0.00 |
| 11 | 40.105 | -0.818 | 0.00 |
| 12 | 45.765 | 1.042 | 0.00 |
| 13 | 59.834 | 0.855 | 0.11 |
| 14 | 58.301 | -0.328 | 0.00 |
| 15 | 52.819 | 0.271 | 0.00 |
| 16 | 36.439 | -0.486 | 0.00 |
| 17 | 23.060 | -0.916 | 0.00 |
| 18 | 53.982 | 0.058 | 0.00 |
| 19 | 35.076 | -0.147 | 0.00 |
| 20 | 56.102 | 0.541 | 0.39 |
| 21 | 56.832 | -0.253 | 0.00 |
| 22 | 30.962 | 0.292 | 0.00 |
| 23 | 39.127 | -0.042 | 0.00 |
| 24 | 58.028 | -0.335 | 0.00 |
| 25 | 54.914 | 0.297 | 0.00 |
| 26 | 65.312 | 3.816 | 2.51 |